5
Lattice="-0.589 4.112 1.705 -3.787 -1.367 1.989 2.550 -1.282 3.973" Properties=species:S:1:pos:R:3 comment="CuSnP2S (PBE, relaxed)" dos_at_fermi_per_ev_atom=0.942 raw_formation_energy_ev_per_atom=0.573 e_above_lowest_polymorph_mev_per_atom=0.0 dft_energy_ev_per_atom=-4.0361 sg="No. 123" pbc="T T T"
S 1.275 -0.641 1.987
P -1.893 -0.683 0.994
Sn -0.913 0.732 3.833
Cu 0.000 0.000 0.000
P -0.294 2.056 0.852



13
Lattice="4.873 0.000 1.239 2.437 9.094 0.619 0.196 0.000 9.433" Properties=species:S:1:pos:R:3 comment="Tb5Sm4Er4 (PBE, relaxed)" dos_at_fermi_per_ev_atom=1.351 dft_energy_ev_per_atom=-4.6202 sg="No. 87" e_form_ev_per_atom=0.017 pbc="T T T"
Er 1.057 0.696 6.046
Tb 0.000 0.000 0.000
Sm 1.752 4.908 3.313
Tb 2.972 2.091 8.716
Sm 3.842 2.779 5.297
Sm 5.754 4.187 7.979
Er 6.449 8.398 5.245
Tb 4.533 7.003 2.576
Sm 3.664 6.315 5.995
Er 4.702 3.495 1.913
Tb 5.585 7.715 8.645
Tb 1.921 1.380 2.647
Er 2.804 5.599 9.379



5
Lattice="4.616 0.000 0.000 0.000 4.616 0.000 0.000 0.000 7.321" Properties=species:S:1:pos:R:3 comment="BaNaIO2 (PBE, relaxed)" dos_at_fermi_per_ev_atom=0.247 raw_formation_energy_ev_per_atom=-0.921 e_above_lowest_polymorph_mev_per_atom=0.0 dft_energy_ev_per_atom=-3.8628 sg="No. 123" pbc="T T T"
Na 2.308 2.308 3.661
O 2.308 0.000 0.000
Ba 0.000 0.000 0.000
I 0.000 0.000 3.661
O 0.000 2.308 0.000



5
Lattice="4.415 0.000 0.000 0.000 5.002 0.000 0.000 0.000 4.415" Properties=species:S:1:pos:R:3 comment="SrNbAu2C (PBE, relaxed)" dos_at_fermi_per_ev_atom=0.773 dft_energy_ev_per_atom=-4.5034 sg="No. 123" e_form_ev_per_atom=1.003 pbc="T T T"
C 0.000 0.000 0.000
Au 2.208 0.000 0.000
Nb 2.208 2.501 2.208
Sr 0.000 2.501 0.000
Au 0.000 0.000 2.208



7
Lattice="5.631 0.000 0.000 0.000 5.631 0.000 2.816 2.816 7.893" Properties=species:S:1:pos:R:3 comment="La4Tl2P (PBE, relaxed)" dos_at_fermi_per_ev_atom=0.686 e_above_lowest_polymorph_mev_per_atom=100.4 dft_energy_ev_per_atom=-4.8412 sg="No. 139" e_form_ev_per_atom=-0.577 pbc="T T T"
La 2.816 2.816 5.057
La 2.816 0.000 0.000
Tl 5.631 5.631 6.022
P 0.000 0.000 0.000
Tl 2.816 2.816 1.871
La 5.631 5.631 2.836
La 0.000 2.816 0.000



10
Lattice="-2.029 -2.169 -7.800 -3.306 -7.510 -1.532 -8.271 -0.552 -2.161" Properties=species:S:1:pos:R:3 comment="Tl2AgPbI6 (PBE, relaxed)" dos_at_fermi_per_ev_atom=0.689 raw_formation_energy_ev_per_atom=-0.445 dft_energy_ev_per_atom=-2.5040 sg="No. 1" pbc="T T T"
Tl -7.719 -0.783 -2.243
I -8.217 -4.225 -3.098
Tl -6.260 -5.341 -5.828
I -6.064 -6.620 -9.179
I -5.785 -7.965 -3.422
I -8.070 -2.490 -6.912
Pb -8.776 -8.261 -8.827
I -9.590 -6.375 -6.438
I -3.895 -2.687 -5.310
Ag -1.975 -3.143 -3.081



6
Lattice="5.117 0.000 0.000 2.559 4.432 0.000 2.559 1.477 4.178" Properties=species:S:1:pos:R:3 comment="PrTmCo4 (PBE, relaxed)" dos_at_fermi_per_ev_atom=1.365 dft_energy_ev_per_atom=-6.3935 sg="No. 216" e_form_ev_per_atom=-0.114 pbc="T T T"
Co 5.117 2.954 0.511
Pr 2.559 1.477 1.045
Co 6.406 3.698 2.615
Co 3.829 3.698 2.615
Tm 0.000 0.000 0.000
Co 5.117 1.467 2.615



4
Lattice="2.647 0.004 0.000 -0.758 2.536 0.000 0.000 0.000 8.374" Properties=species:S:1:pos:R:3 comment="TaFe2Tc (PBE, relaxed)" dos_at_fermi_per_ev_atom=0.786 e_above_lowest_polymorph_mev_per_atom=206.8 dft_energy_ev_per_atom=-9.6576 sg="No. 65" e_form_ev_per_atom=0.128 pbc="T T T"
Tc 0.945 1.270 6.281
Ta 0.945 1.270 2.094
Fe 0.000 0.000 8.307
Fe 0.000 0.000 4.255



12
Lattice="-1.245 -4.179 3.883 2.020 -3.934 -3.587 5.312 2.673 4.579" Properties=species:S:1:pos:R:3 comment="NpGa3PdAu (PBE, relaxed)" dos_at_fermi_per_ev_atom=1.892 dft_energy_ev_per_atom=-5.2432 sg="No. 63" e_form_ev_per_atom=-0.161 pbc="T T T"
Np 2.952 -2.700 4.625
Au 2.340 -4.849 2.117
Ga 0.565 -1.100 -1.003
Ga -0.058 -3.190 0.939
Ga 0.832 -4.924 -0.642
Ga 1.271 -0.868 1.668
Ga 4.816 -4.572 3.208
Ga 1.455 -2.834 -2.584
Pd 5.679 -2.456 1.372
Pd 0.408 -2.984 3.504
Np 3.135 -2.740 0.251
Au 3.746 -0.592 2.759



5
Lattice="4.424 0.000 0.000 0.000 4.424 0.000 0.000 0.000 5.849" Properties=species:S:1:pos:R:3 comment="TlSIN2 (PBE, relaxed)" dos_at_fermi_per_ev_atom=0.555 raw_formation_energy_ev_per_atom=1.825 e_above_lowest_polymorph_mev_per_atom=245.3 dft_energy_ev_per_atom=-3.1135 sg="No. 123" pbc="T T T"
N 2.212 0.000 0.000
I 2.212 2.212 2.925
N 0.000 2.212 0.000
Tl 0.000 0.000 0.000
S 0.000 0.000 2.925



5
Lattice="-4.758 -1.301 -0.870 1.139 -4.789 0.929 -2.854 -2.379 4.741" Properties=species:S:1:pos:R:3 comment="Sn2HgP2 (PBE, relaxed)" dos_at_fermi_per_ev_atom=0.223 e_above_lowest_polymorph_mev_per_atom=35.0 dft_energy_ev_per_atom=-3.6656 sg="No. 139" e_form_ev_per_atom=0.160 pbc="T T T"
Sn -4.350 -5.623 3.357
Sn -2.123 -2.845 1.443
Hg 0.000 0.000 0.000
P -4.711 -3.362 1.950
P -1.762 -5.106 2.850



4
Lattice="-0.055 -1.162 -4.896 -1.342 -4.619 -1.475 -7.149 0.154 -2.543" Properties=species:S:1:pos:R:3 comment="RbMgPb2 (PBE, relaxed)" dos_at_fermi_per_ev_atom=0.673 dft_energy_ev_per_atom=-2.5659 sg="No. 166" e_form_ev_per_atom=-0.071 pbc="T T T"
Pb -2.935 -1.746 -4.725
Mg -4.246 -2.232 -2.009
Pb -5.610 -3.880 -4.189
Rb -0.027 -0.581 -2.448